one:
Y2InGa: relaxed, PBE. Values from VASP.

Summary:
total magnetic moment: 0.0 μB per formula unit

The structure in Quantum ESPRESSO input format:
```
&SYSTEM
  ibrav = 0, nat = 4, ntyp = 3
/
ATOMIC_SPECIES
Y 88.91 Y.upf
In 114.82 In.upf
Ga 69.72 Ga.upf
CELL_PARAMETERS angstrom
3.599 0.000 0.000
0.000 3.599 0.000
0.000 0.000 7.678
ATOMIC_POSITIONS angstrom
Y 0.000 0.000 1.806
Y 0.000 0.000 5.872
In 1.799 1.799 3.839
Ga 1.799 1.799 0.000
```

two:
Y2InGa: relaxed, PBE. Values from VASP.

Summary:
total magnetic moment: 0.0 μB per formula unit

The structure in Quantum ESPRESSO input format:
```
&SYSTEM
  ibrav = 0, nat = 4, ntyp = 3
/
ATOMIC_SPECIES
Y 88.91 Y.upf
In 114.82 In.upf
Ga 69.72 Ga.upf
CELL_PARAMETERS angstrom
0.000 3.683 3.683
3.683 0.000 3.683
3.683 3.683 0.000
ATOMIC_POSITIONS angstrom
Y 1.841 1.841 1.841
Y 5.524 5.524 5.524
In 0.000 0.000 0.000
Ga 3.683 3.683 3.683
```

three:
Y2InGa: relaxed, PBE. Values from VASP.

Summary:
total magnetic moment: 0.0 μB per formula unit

The structure in Quantum ESPRESSO input format:
```
&SYSTEM
  ibrav = 0, nat = 4, ntyp = 3
/
ATOMIC_SPECIES
Y 88.91 Y.upf
In 114.82 In.upf
Ga 69.72 Ga.upf
CELL_PARAMETERS angstrom
1.850 1.068 9.126
-1.850 1.068 9.126
0.000 -2.136 9.126
ATOMIC_POSITIONS angstrom
Y 0.000 0.000 6.678
Y 0.000 0.000 20.700
In 0.000 0.000 0.000
Ga 0.000 0.000 13.689
```

four:
Y2InGa: relaxed, PBE. Values from VASP.

Summary:
total magnetic moment: 0.0 μB per formula unit

The structure in Quantum ESPRESSO input format:
```
&SYSTEM
  ibrav = 0, nat = 8, ntyp = 3
/
ATOMIC_SPECIES
Y 88.91 Y.upf
In 114.82 In.upf
Ga 69.72 Ga.upf
CELL_PARAMETERS angstrom
-4.045 4.045 3.383
4.045 -4.045 3.383
4.045 4.045 -3.383
ATOMIC_POSITIONS angstrom
Y 6.067 1.844 -0.846
Y 1.844 2.022 0.846
Y -2.022 2.201 2.537
Y 2.201 2.022 4.229
In 4.045 0.000 1.691
In 0.000 0.000 3.383
Ga 0.000 0.000 0.000
Ga 0.000 4.045 1.691
```

Stability, descending: one, two, three, four